No. 1
DFT (PBE) results for a relaxed structure of RbHgO.

Geometry as POSCAR:
```
RbHgO
1.0
-0.6853 -5.8031 -0.4185
3.4020 -0.6762 3.8053
-6.1705 3.4944 2.6540
Rb O Hg
2 2 2
direct
0.3222 0.8222 0.6444
0.6778 0.1778 0.3556
0.8778 0.3778 0.7555
0.1222 0.6222 0.2445
0.7293 0.5000 0.0000
0.2707 0.5000 0.0000
```

Summary:
Energy relative to the elements, uncorrected in eV per atom: -0.622
SG: Immm (71)



No. 2
DFT (PBE) results for a relaxed structure of Rb7HgO2.

Geometry as POSCAR:
```
Rb7HgO2
1.0
-4.8125 -2.7380 -1.4994
3.4688 -7.7503 3.0190
-4.6934 5.0909 5.7678
Hg Rb O
1 7 2
direct
0.0000 0.0000 0.0000
0.5000 0.0417 0.3381
0.5000 0.9583 0.6619
0.5000 0.3381 0.0417
0.5000 0.6619 0.9583
0.0000 0.6931 0.3069
0.0000 0.3069 0.6931
0.5000 0.5000 0.5000
0.5000 0.3008 0.6992
0.5000 0.6992 0.3008
```

Summary:
Energy relative to the elements, uncorrected in eV per atom: -0.524
SG: Cmmm (65)
Fermi-level density of states in states/eV per atom: 0.511



No. 3
DFT (PBE) results for a relaxed structure of Rb5Hg2O5.

Geometry as POSCAR:
```
Rb5Hg2O5
1.0
3.9346 0.0000 0.0000
-1.9673 6.6062 0.2939
0.0000 -2.6493 10.3501
Rb O Hg
5 5 2
direct
0.2337 0.4673 0.6436
0.3563 0.7127 0.9587
0.6437 0.2873 0.0413
0.5000 0.0000 0.5000
0.7663 0.5327 0.3564
0.6159 0.2317 0.7797
0.3841 0.7683 0.2203
0.1174 0.2349 0.3810
0.0000 0.0000 0.0000
0.8826 0.7651 0.6190
0.0110 0.0220 0.7818
0.9890 0.9780 0.2182
```

Summary:
Energy relative to the elements, uncorrected in eV per atom: -0.776
SG: C2/m (12)
Fermi-level density of states in states/eV per atom: 0.808



No. 4
DFT (PBE) results for a relaxed structure of Rb2HgO2.

Geometry as POSCAR:
```
Rb2HgO2
1.0
-2.2343 -4.9472 -4.4917
5.8184 -3.7693 1.2572
-2.0399 -2.0554 3.2785
Rb Hg O
4 2 4
direct
0.1500 0.6500 0.5000
0.8500 0.3500 0.5000
0.3500 0.1500 0.5000
0.6500 0.8500 0.5000
0.5000 0.5000 0.0000
0.0000 0.0000 0.0000
0.6832 0.1832 0.0000
0.1832 0.3168 0.0000
0.3168 0.8168 0.0000
0.8168 0.6832 0.0000
```

Summary:
Energy relative to the elements, uncorrected in eV per atom: -0.513
SG: P4/mbm (127)
Fermi-level density of states in states/eV per atom: 0.071



No. 5
DFT (PBE) results for a relaxed structure of RbHg6O8.

Geometry as POSCAR:
```
RbHg6O8
1.0
-1.5839 -0.5108 -6.4504
-6.1846 -1.0065 2.2616
-0.3126 6.6509 0.2133
Hg O Rb
6 8 1
direct
0.5806 0.1683 0.3282
0.6718 0.4194 0.8317
0.1683 0.3282 0.5806
0.3282 0.5806 0.1683
0.8317 0.6718 0.4194
0.4194 0.8317 0.6718
0.2641 0.2641 0.2641
0.8386 0.3328 0.5659
0.6672 0.4341 0.1614
0.3328 0.5659 0.8386
0.1614 0.6672 0.4341
0.7359 0.7359 0.7359
0.5659 0.8386 0.3328
0.4341 0.1614 0.6672
0.0000 0.0000 0.0000
```

Summary:
Energy relative to the elements, uncorrected in eV per atom: -0.138
SG: R-3 (148)
Fermi-level density of states in states/eV per atom: 0.529



No. 6
DFT (PBE) results for a relaxed structure of Rb2HgO.

Geometry as POSCAR:
```
Rb2HgO
1.0
-2.9748 -1.5033 1.1976
1.8469 -1.6249 2.5480
-1.4164 7.3597 5.7200
Hg O Rb
1 1 2
direct
0.5000 0.5000 0.5000
0.5000 0.5000 0.0000
0.0000 0.0000 0.8365
0.0000 0.0000 0.1635
```

Summary:
Energy relative to the elements, uncorrected in eV per atom: -0.615
SG: P4/mmm (123)
Fermi-level density of states in states/eV per atom: 0.679